(1)
Compound: HgTeRu
Source: Alexandria via LeMat-Bulk
Functional: GGA-PBE
Structure: optimized geometry

## Properties
Formation energy (no corrections)   0.051 eV per atom
SG   C2/m
Density of states at the Fermi level   0.4586 states/eV/atom
Excess energy over the best structure of this formula in the dataset   0 kJ/mol of formula units

Cell: 12.679 3.443 7.041 Å, 90.00 108.86 90.00°
Positions (direct):
Hg1 0.000 0.000 0.000
Hg2 0.000 0.500 0.500
Hg3 0.500 0.000 0.500
Hg4 0.500 0.500 0.000
Te1 0.249 0.000 0.725
Te2 0.251 0.500 0.275
Te3 0.749 0.500 0.725
Te4 0.751 0.000 0.275
Ru1 0.157 0.500 0.890
Ru2 0.343 0.000 0.110
Ru3 0.657 0.000 0.890
Ru4 0.843 0.500 0.110

***

(2)
Compound: Er3Zn2Ni3
Source: Alexandria via LeMat-Bulk
Functional: GGA-PBE
Structure: optimized geometry

## Properties
E_form   -406 meV/atom
SG   Pnma
Density of states at the Fermi level   0.6589 states/eV/atom
Excess energy over the best structure of this formula in the dataset   0 kJ/mol of formula units

Cell: 7.363 14.403 5.569 Å, 90.00 90.00 90.00°
Positions (direct):
Er1 0.040 0.104 0.148
Er2 0.040 0.396 0.148
Er3 0.182 0.250 0.608
Er4 0.318 0.750 0.108
Er5 0.460 0.604 0.648
Er6 0.460 0.896 0.648
Er7 0.540 0.104 0.352
Er8 0.540 0.396 0.352
Er9 0.682 0.250 0.892
Er10 0.818 0.750 0.392
Er11 0.960 0.604 0.852
Er12 0.960 0.896 0.852
Zn1 0.110 0.604 0.360
Zn2 0.110 0.896 0.360
Zn3 0.390 0.104 0.860
Zn4 0.390 0.396 0.860
Zn5 0.610 0.604 0.140
Zn6 0.610 0.896 0.140
Zn7 0.890 0.104 0.640
Zn8 0.890 0.396 0.640
Ni1 0.174 0.750 0.605
Ni2 0.190 0.038 0.576
Ni3 0.190 0.462 0.576
Ni4 0.310 0.538 0.076
Ni5 0.310 0.962 0.076
Ni6 0.326 0.250 0.105
Ni7 0.674 0.750 0.895
Ni8 0.690 0.038 0.924
Ni9 0.690 0.462 0.924
Ni10 0.810 0.538 0.424
Ni11 0.810 0.962 0.424
Ni12 0.826 0.250 0.395

***

(3)
Compound: ErInHgPt
Source: Alexandria via LeMat-Bulk
Functional: GGA-PBE
Structure: optimized geometry

## Properties
E_form   -619 meV/atom
SG   F-43m
Density of states at the Fermi level   0.4329 states/eV/atom

Cell: 6.968 6.968 6.968 Å, 90.00 90.00 90.00°
Positions (direct):
Er1 0.000 0.000 0.000
Er2 0.000 0.500 0.500
Er3 0.500 0.000 0.500
Er4 0.500 0.500 0.000
In1 0.000 0.000 0.500
In2 0.000 0.500 0.000
In3 0.500 0.000 0.000
In4 0.500 0.500 0.500
Hg1 0.250 0.250 0.250
Hg2 0.250 0.750 0.750
Hg3 0.750 0.250 0.750
Hg4 0.750 0.750 0.250
Pt1 0.250 0.250 0.750
Pt2 0.250 0.750 0.250
Pt3 0.750 0.250 0.250
Pt4 0.750 0.750 0.750

***

(4)
Compound: Ac3MgHg2
Source: Alexandria via LeMat-Bulk
Functional: GGA-PBE
Structure: optimized geometry

## Properties
E_form   -337 meV/atom
SG   P4/mmm
Density of states at the Fermi level   1.2769 states/eV/atom
Excess energy over the best structure of this formula in the dataset   2 kJ/mol of formula units

Cell: 4.076 4.076 12.147 Å, 90.00 90.00 90.00°
Positions (direct):
Ac1 0.000 0.000 0.000
Ac2 0.000 0.000 0.330
Ac3 0.000 0.000 0.670
Mg1 0.500 0.500 0.500
Hg1 0.500 0.500 0.170
Hg2 0.500 0.500 0.830

***

(5)
Compound: PmPrNi
Source: Alexandria via LeMat-Bulk
Functional: GGA-PBE
Structure: optimized geometry

## Properties
E_form   -34 meV/atom
SG   F-43m
Density of states at the Fermi level   1.6373 states/eV/atom
Excess energy over the best structure of this formula in the dataset   51 kJ/mol of formula units

Cell: 6.935 6.935 6.935 Å, 90.00 90.00 90.00°
Positions (direct):
Pm1 0.000 0.000 0.000
Pm2 0.000 0.500 0.500
Pm3 0.500 0.000 0.500
Pm4 0.500 0.500 0.000
Pr1 0.000 0.000 0.500
Pr2 0.000 0.500 0.000
Pr3 0.500 0.000 0.000
Pr4 0.500 0.500 0.500
Ni1 0.250 0.250 0.250
Ni2 0.250 0.750 0.750
Ni3 0.750 0.250 0.750
Ni4 0.750 0.750 0.250

***

(6)
Compound: Pm8In2Bi
Source: Alexandria via LeMat-Bulk
Functional: GGA-PBE
Structure: optimized geometry

## Properties
E_form   -275 meV/atom
SG   C2/m
Density of states at the Fermi level   1.1188 states/eV/atom

Cell: 10.248 10.248 7.138 Å, 102.56 102.56 29.70°
Positions (direct):
Pm1 0.023 0.023 0.257
Pm2 0.210 0.210 0.814
Pm3 0.340 0.340 0.519
Pm4 0.406 0.406 0.032
Pm5 0.594 0.594 0.968
Pm6 0.660 0.660 0.481
Pm7 0.790 0.790 0.186
Pm8 0.977 0.977 0.743
In1 0.185 0.185 0.248
In2 0.815 0.815 0.752
Bi1 0.500 0.500 0.500

***

| no. | M_tot (Bohr magnetons per cell) |
| --- | --- |
| 1 | 0.00 |
| 2 | 0.00 |
| 3 | 0.00 |
| 4 | 0.43 |
| 5 | 0.00 |
| 6 | 0.00 |